(1)
Entry from Alexandria: a relaxed structure of TmMgGe2Pt5 (PBE).

Unit cell a=4.142 b=4.142 c=8.959 alpha=90.00 beta=90.00 gamma=90.00
Element x y z (fractional)
Tm  0.000  0.000  0.000
Mg  0.000  0.000  0.500
Ge  0.500  0.500  0.134
Ge  0.500  0.500  0.866
Pt  0.000  0.500  0.281
Pt  0.500  0.000  0.281
Pt  0.000  0.500  0.719
Pt  0.500  0.000  0.719
Pt  0.500  0.500  0.500

Symmetry ... P4/mmm (123)
E_form ... -754 meV/atom
Total energy ... -5.811 eV/atom

***

(2)
Entry from Alexandria: a relaxed structure of Pm2SeI (PBE).

Unit cell a=5.300 b=5.300 c=5.300 alpha=60.00 beta=60.00 gamma=60.00
Element x y z (fractional)
I  0.500  0.500  0.500
Se  0.000  0.000  0.000
Pm  0.250  0.250  0.250
Pm  0.750  0.750  0.750

E_form (uncorrected) ... -113.6 kJ per mole of atoms
Symmetry ... Fm-3m (225)
Total energy ... -4.811 eV/atom

***

| no. | magnetic moment (μB per formula unit) |
| --- | --- |
| 1 | 0.0 |
| 2 | 0.0 |